[1]
DFT (PBE-GGA) results for a relaxed Er5Co2Au2 crystal.

The calculated total energy comes out at -48.2 eV/f.u. Its density of states at the Fermi level is 7.6 states/eV/f.u.

Cell lengths 7.152, 7.240, 8.552 Å; angles 90.00, 65.28, 90.00 degrees
Element x y z (fractional)
Er  0.000  0.000  0.000
Er  0.500  0.500  0.000
Er  0.451  0.178  0.743
Er  0.806  0.822  0.743
Er  0.306  0.678  0.743
Er  0.951  0.322  0.743
Er  0.549  0.822  0.257
Er  0.194  0.178  0.257
Er  0.694  0.322  0.257
Er  0.049  0.678  0.257
Co  0.111  0.388  0.000
Co  0.889  0.612  0.000
Co  0.389  0.888  0.000
Co  0.611  0.112  0.000
Au  0.213  0.000  0.573
Au  0.713  0.500  0.573
Au  0.787  0.000  0.427
Au  0.287  0.500  0.427

[2]
DFT (PBE-GGA) results for a relaxed YBeCr crystal.

The calculation puts the excess energy over the best structure of this formula in the dataset at 0.2172 eV/atom. Its density of states at the Fermi level is 1.9 states/eV/f.u.

Cell lengths 4.385, 4.385, 4.385 Å; angles 60.00, 60.00, 60.00 degrees
Element x y z (fractional)
Y  0.500  0.500  0.500
Cr  0.000  0.000  0.000
Be  0.750  0.750  0.750

[3]
DFT (PBE-GGA) results for a relaxed Tl6PbO12 crystal.

For the uncorrected formation energy, the calculation gives -10.23 eV per formula unit. Its density of states at the Fermi level is 17.0 states/eV/f.u.

Cell lengths 6.646, 6.646, 6.646 Å; angles 99.82, 99.82, 99.82 degrees
Element x y z (fractional)
Tl  0.136  0.307  0.606
Tl  0.693  0.394  0.864
Tl  0.394  0.864  0.693
Tl  0.864  0.693  0.394
Tl  0.307  0.606  0.136
Tl  0.606  0.136  0.307
Pb  0.000  0.000  0.000
O  0.424  0.178  0.590
O  0.178  0.590  0.424
O  0.590  0.424  0.178
O  0.576  0.822  0.410
O  0.822  0.410  0.576
O  0.410  0.576  0.822
O  0.056  0.919  0.683
O  0.317  0.944  0.081
O  0.081  0.317  0.944
O  0.944  0.081  0.317
O  0.683  0.056  0.919
O  0.919  0.683  0.056

[4]
DFT (PBE-GGA) results for a relaxed Ce2AgSb3Rh4 crystal.

For the uncorrected formation energy, the calculation gives -6.84 eV per formula unit. Its density of states at the Fermi level is 10.1 states/eV/f.u.

Cell lengths 4.194, 4.194, 11.874 Å; angles 90.00, 90.00, 90.00 degrees
Element x y z (fractional)
Ce  0.500  0.000  0.266
Ce  0.000  0.500  0.734
Ag  0.500  0.500  0.500
Sb  0.000  0.000  0.500
Sb  0.500  0.000  0.870
Sb  0.000  0.500  0.130
Rh  0.500  0.500  0.000
Rh  0.000  0.000  0.000
Rh  0.500  0.000  0.657
Rh  0.000  0.500  0.343

[5]
DFT (PBE-GGA) results for a relaxed Ti3Mn3V2 crystal.

The calculated total energy comes out at -71.2 eV/f.u. Its density of states at the Fermi level is 8.5 states/eV/f.u.

Cell lengths 2.974, 4.288, 8.763 Å; angles 104.16, 99.77, 90.00 degrees
Element x y z (fractional)
Ti  0.621  0.621  0.242
Ti  0.379  0.379  0.758
Ti  0.500  0.000  0.000
Mn  0.130  0.130  0.259
Mn  0.000  0.500  0.000
Mn  0.870  0.870  0.741
V  0.740  0.240  0.480
V  0.260  0.760  0.520

[6]
DFT (PBE-GGA) results for a relaxed LaNd2Sm6Y crystal.

The calculated total energy comes out at -48.1 eV/f.u. Its density of states at the Fermi level is 15.7 states/eV/f.u.

Cell lengths 9.922, 8.982, 8.982 Å; angles 118.60, 94.57, 94.57 degrees
Element x y z (fractional)
La  0.250  0.405  0.595
La  0.750  0.595  0.405
Nd  0.459  0.812  0.707
Nd  0.041  0.293  0.188
Nd  0.541  0.188  0.293
Nd  0.959  0.707  0.812
Sm  0.056  0.122  0.750
Sm  0.444  0.250  0.878
Sm  0.944  0.878  0.250
Sm  0.556  0.750  0.122
Sm  0.316  0.971  0.422
Sm  0.184  0.578  0.029
Sm  0.684  0.029  0.578
Sm  0.816  0.422  0.971
Sm  0.122  0.709  0.502
Sm  0.378  0.498  0.291
Sm  0.878  0.291  0.498
Sm  0.622  0.502  0.709
Y  0.250  0.980  0.020
Y  0.750  0.020  0.980

[7]
DFT (PBE-GGA) results for a relaxed PaNbReMo crystal.

The calculated total energy comes out at -43.0 eV/f.u. Its density of states at the Fermi level is 3.4 states/eV/f.u.

Cell lengths 4.709, 4.709, 4.709 Å; angles 60.00, 60.00, 60.00 degrees
Element x y z (fractional)
Re  0.250  0.250  0.250
Mo  0.750  0.750  0.750
Pa  0.500  0.500  0.500
Nb  0.000  0.000  0.000

[8]
DFT (PBE-GGA) results for a relaxed NaSr2LiCa crystal.

The calculation puts the excess energy over the best structure of this formula in the dataset at 0.0809 eV/atom. Its density of states at the Fermi level is 3.8 states/eV/f.u.

Cell lengths 6.315, 6.315, 6.056 Å; angles 90.00, 90.00, 90.00 degrees
Element x y z (fractional)
Sr  0.000  0.500  0.000
Sr  0.500  0.000  0.000
Ca  0.000  0.000  0.500
Li  0.000  0.000  0.000
Na  0.500  0.500  0.500

[9]
DFT (PBE-GGA) results for a relaxed CoSb2As crystal.

For the uncorrected formation energy, the calculation gives 0.74 eV per formula unit. Its density of states at the Fermi level is 1.3 states/eV/f.u.

Cell lengths 6.027, 6.027, 7.222 Å; angles 65.34, 65.34, 90.00 degrees
Element x y z (fractional)
Sb  0.577  0.125  0.250
Sb  0.173  0.625  0.250
Sb  0.375  0.423  0.750
Sb  0.875  0.827  0.750
As  0.000  0.000  0.000
As  0.750  0.250  0.500
Co  0.500  0.500  0.000
Co  0.250  0.750  0.500

[10]
DFT (PBE-GGA) results for a relaxed KSrCa2Cu crystal.

The calculation puts the excess energy over the best structure of this formula in the dataset at 0.1110 eV/atom. Its density of states at the Fermi level is 4.0 states/eV/f.u.

Cell lengths 5.828, 5.828, 6.306 Å; angles 90.00, 90.00, 90.00 degrees
Element x y z (fractional)
Sr  0.500  0.500  0.500
Ca  0.000  0.500  0.000
Ca  0.500  0.000  0.000
K  0.000  0.000  0.500
Cu  0.000  0.000  0.000

[11]
DFT (PBE-GGA) results for a relaxed ZrZnRe2Sb crystal.

For the uncorrected formation energy, the calculation gives 9.60 eV per formula unit. Its density of states at the Fermi level is 6.4 states/eV/f.u.

Cell lengths 4.835, 5.026, 4.835 Å; angles 90.00, 90.00, 90.00 degrees
Element x y z (fractional)
Re  0.000  0.000  0.500
Re  0.500  0.000  0.000
Zn  0.000  0.500  0.000
Zr  0.000  0.000  0.000
Sb  0.500  0.500  0.500

[12]
DFT (PBE-GGA) results for a relaxed UGa3Ni3 crystal.

The calculation puts the excess energy over the best structure of this formula in the dataset at 0.3796 eV/atom. Its density of states at the Fermi level is 7.7 states/eV/f.u.

Cell lengths 6.413, 6.413, 6.413 Å; angles 90.00, 90.00, 90.00 degrees
Element x y z (fractional)
Ni  0.250  0.000  0.500
Ni  0.000  0.500  0.250
Ni  0.500  0.750  0.000
Ni  0.750  0.000  0.500
Ni  0.000  0.500  0.750
Ni  0.500  0.250  0.000
U  0.500  0.500  0.500
U  0.000  0.000  0.000
Ga  0.000  0.250  0.500
Ga  0.000  0.750  0.500
Ga  0.500  0.000  0.750
Ga  0.750  0.500  0.000
Ga  0.500  0.000  0.250
Ga  0.250  0.500  0.000

[13]
DFT (PBE-GGA) results for a relaxed TlRhPb crystal.

The calculation puts the excess energy over the best structure of this formula in the dataset at 0.2372 eV/atom. Its density of states at the Fermi level is 1.9 states/eV/f.u.

Cell lengths 4.825, 4.825, 3.434 Å; angles 90.00, 90.00, 120.00 degrees
Element x y z (fractional)
Tl  0.667  0.333  0.510
Rh  0.333  0.667  0.485
Pb  0.000  0.000  0.005

[14]
DFT (PBE-GGA) results for a relaxed BeTlGa crystal.

The calculated total energy comes out at -8.7 eV/f.u. Its density of states at the Fermi level is 0.6 states/eV/f.u.

Cell lengths 3.705, 3.704, 10.431 Å; angles 99.20, 80.87, 120.17 degrees
Element x y z (fractional)
Be  0.337  0.453  0.925
Be  0.671  0.120  0.925
Tl  0.780  0.007  0.570
Tl  0.554  0.235  0.283
Ga  0.043  0.746  0.794
Ga  0.964  0.827  0.056

[15]
DFT (PBE-GGA) results for a relaxed LiAl2W crystal.

The calculation puts the excess energy over the best structure of this formula in the dataset at 0.1486 eV/atom. Its density of states at the Fermi level is 3.3 states/eV/f.u.

Cell lengths 5.088, 5.088, 5.088 Å; angles 137.50, 137.50, 61.67 degrees
Element x y z (fractional)
Al  0.000  0.000  0.000
Al  0.250  0.750  0.500
Li  0.500  0.500  0.000
W  0.750  0.250  0.500

[16]
DFT (PBE-GGA) results for a relaxed LiZrAgIr crystal.

The calculated total energy comes out at -23.4 eV/f.u. Its density of states at the Fermi level is 1.9 states/eV/f.u.

Cell lengths 4.578, 4.578, 4.578 Å; angles 60.00, 60.00, 60.00 degrees
Element x y z (fractional)
Ir  0.750  0.750  0.750
Zr  0.500  0.500  0.500
Ag  0.250  0.250  0.250
Li  0.000  0.000  0.000

[17]
DFT (PBE-GGA) results for a relaxed Ho7Er2Th crystal.

The calculated total energy comes out at -41.3 eV/f.u. Its density of states at the Fermi level is 17.0 states/eV/f.u.

Cell lengths 5.280, 9.444, 9.444 Å; angles 125.23, 90.00, 90.00 degrees
Element x y z (fractional)
Ho  0.000  0.800  0.200
Ho  0.000  0.200  0.800
Ho  0.500  0.067  0.287
Ho  0.500  0.933  0.713
Ho  0.500  0.287  0.067
Ho  0.500  0.713  0.933
Ho  0.500  0.500  0.500
Er  0.500  0.702  0.298
Er  0.500  0.298  0.702
Th  0.000  0.000  0.000

[18]
DFT (PBE-GGA) results for a relaxed Nd2Y4ErSc crystal.

The calculated total energy comes out at -46.0 eV/f.u. Its density of states at the Fermi level is 12.5 states/eV/f.u.

Cell lengths 5.037, 5.041, 11.202 Å; angles 63.25, 90.00, 90.00 degrees
Element x y z (fractional)
Nd  0.000  0.000  0.000
Nd  0.500  0.000  0.500
Y  0.000  0.755  0.746
Y  0.000  0.245  0.254
Y  0.500  0.745  0.254
Y  0.500  0.255  0.746
Er  0.500  0.500  0.000
Sc  0.000  0.500  0.500

[19]
DFT (PBE-GGA) results for a relaxed CaAcSnRh crystal.

The calculated total energy comes out at -19.2 eV/f.u. Its density of states at the Fermi level is 2.5 states/eV/f.u.

Cell lengths 5.378, 5.378, 5.378 Å; angles 60.00, 60.00, 60.00 degrees
Element x y z (fractional)
Ac  0.500  0.500  0.500
Ca  0.000  0.000  0.000
Rh  0.750  0.750  0.750
Sn  0.250  0.250  0.250

[20]
DFT (PBE-GGA) results for a relaxed UBeTc2 crystal.

The calculation puts the excess energy over the best structure of this formula in the dataset at 0.2203 eV/atom. Its density of states at the Fermi level is 4.1 states/eV/f.u.

Cell lengths 3.274, 3.274, 5.735 Å; angles 90.00, 90.00, 90.00 degrees
Element x y z (fractional)
Be  0.500  0.500  0.000
U  0.500  0.500  0.500
Tc  0.000  0.000  0.758
Tc  0.000  0.000  0.242

[21]
DFT (PBE-GGA) results for a relaxed K6PaBr12 crystal.

For the uncorrected formation energy, the calculation gives -28.47 eV per formula unit. Its density of states at the Fermi level is 11.2 states/eV/f.u.

Cell lengths 9.485, 9.485, 9.485 Å; angles 95.47, 95.47, 95.47 degrees
Element x y z (fractional)
K  0.165  0.338  0.632
K  0.662  0.368  0.835
K  0.368  0.835  0.662
K  0.835  0.662  0.368
K  0.338  0.632  0.165
K  0.632  0.165  0.338
Pa  0.000  0.000  0.000
Br  0.437  0.162  0.604
Br  0.162  0.604  0.437
Br  0.604  0.437  0.162
Br  0.563  0.838  0.396
Br  0.838  0.396  0.563
Br  0.396  0.563  0.838
Br  0.010  0.960  0.713
Br  0.287  0.990  0.040
Br  0.040  0.287  0.990
Br  0.990  0.040  0.287
Br  0.713  0.010  0.960
Br  0.960  0.713  0.010

[22]
DFT (PBE-GGA) results for a relaxed Sc8Fe2Cu crystal.

The calculated total energy comes out at -72.1 eV/f.u. Its density of states at the Fermi level is 11.7 states/eV/f.u.

Cell lengths 5.038, 7.063, 7.063 Å; angles 111.62, 98.47, 98.47 degrees
Element x y z (fractional)
Sc  0.589  0.334  0.068
Sc  0.589  0.068  0.334
Sc  0.191  0.377  0.377
Sc  0.000  0.239  0.767
Sc  0.000  0.767  0.239
Sc  0.809  0.629  0.629
Sc  0.411  0.938  0.672
Sc  0.411  0.672  0.938
Fe  0.500  0.688  0.318
Fe  0.500  0.318  0.688
Cu  0.002  0.004  0.004

[23]
DFT (PBE-GGA) results for a relaxed KSr2Sb crystal.

For the uncorrected formation energy, the calculation gives -2.09 eV per formula unit. Its density of states at the Fermi level is 2.4 states/eV/f.u.

Cell lengths 4.883, 4.883, 11.227 Å; angles 77.44, 77.44, 60.00 degrees
Element x y z (fractional)
K  0.501  0.501  0.497
Sr  0.051  0.051  0.846
Sr  0.282  0.282  0.155
Sb  0.666  0.666  0.001

[24]
DFT (PBE-GGA) results for a relaxed CrCd7 crystal.

The calculated total energy comes out at -14.9 eV/f.u. Its density of states at the Fermi level is 4.6 states/eV/f.u.

Cell lengths 6.229, 6.229, 6.229 Å; angles 60.00, 60.00, 60.00 degrees
Element x y z (fractional)
Cr  0.000  0.000  0.000
Cd  0.500  0.000  0.000
Cd  0.000  0.000  0.500
Cd  0.500  0.000  0.500
Cd  0.000  0.500  0.000
Cd  0.500  0.500  0.000
Cd  0.000  0.500  0.500
Cd  0.500  0.500  0.500